Material: La2Ce2Pb7
Method: DFT, PBE
State: relaxed

The structure in POSCAR format:
```
La2Ce2Pb7
1.0
8.5754 -0.5821 -0.5238
-1.1048 5.2373 1.0425
-1.0565 0.5753 8.5267
La Pb Ce
2 7 2
direct
0.8064 0.5000 0.8064
0.1936 0.5000 0.1936
0.8986 0.2165 0.4987
0.5013 0.2165 0.1014
0.4987 0.7835 0.8986
0.5401 0.2835 0.4599
0.1014 0.7835 0.5013
0.0000 0.0000 0.0000
0.4599 0.7165 0.5401
0.7483 0.8132 0.2517
0.2517 0.1868 0.7483
```

Computed properties:
- crystal system = monoclinic
- magnetization (μB/f.u.) = 1.8
- calculated formation energy (eV/atom) = -0.250
- V (Å³ per atom) = 33.67
- total DFT energy (no corrections) (eV/atom) = -4.584
- density of states at the Fermi level (states/eV per cell) = 18.58

***

Material: Ac2TbH8
Method: DFT, PBE
State: relaxed

The structure in POSCAR format:
```
Ac2TbH8
1.0
3.8654 0.0000 -1.1764
-0.8096 4.6836 -2.6600
-0.0146 0.7440 6.8908
H Ac Tb
8 2 1
direct
0.0000 0.2289 0.0000
0.3517 0.0955 0.7034
0.8187 0.8187 0.6374
0.6483 0.9045 0.2966
0.6483 0.3921 0.2966
0.1813 0.1813 0.3626
0.0000 0.7711 0.0000
0.3517 0.6079 0.7034
0.8316 0.3316 0.6633
0.1684 0.6684 0.3367
0.5000 0.0000 0.0000
```

Computed properties:
- crystal system = orthorhombic
- magnetization (μB/f.u.) = 0.0
- V (Å³ per atom) = 12.09
- total DFT energy (no corrections) (eV/atom) = -4.171
- density of states at the Fermi level (states/eV per cell) = 1.02

***

- What is the density of states at the Fermi level in the first record?
  18.58 states/eV per cell

***

- Among the records above, which one has the highest density of states at the Fermi level?
  La2Ce2Pb7

***

- The lowest V belongs to which entry?
  Ac2TbH8

***

- Look up the total DFT energy (no corrections) of the second one.
  -4.171 eV/atom